Material: AlSnAs2
Method: DFT, meta-GGA SCAN
State: PBEsol geometry

The calculation puts the uncorrected energy at -84.6 eV/f.u. As for the spin magnetization: 0.01 μB/f.u. The energy of formation comes out at -0.144 eV/atom.

```
AlSnAs2
1.0
6.044 0.000 0.000
0.000 6.044 0.000
-3.022 -3.022 5.866
As Sn Al
4 2 2
Cartesian
4.301 1.511 1.467
1.511 1.278 4.400
-1.511 -1.278 4.400
1.744 4.533 1.467
0.000 3.022 2.933
0.000 0.000 0.000
3.022 0.000 2.933
3.022 3.022 0.000
```